No. 1
Entry from Alexandria: a relaxed Co2OsPt crystal (PBE).

Energy of formation in meV per atom: 114
Total DFT energy (no corrections) in eV/cell: -31.03
Size of the total moment in μB/f.u.: 1.7

POSCAR file:
```
Co2OsPt
1.0
-1.8352 1.8352 3.7970
1.8352 -1.8352 3.7970
1.8352 1.8352 -3.7970
Co Os Pt
2 1 1
Cartesian
0.0000 0.0000 0.0000
0.0000 1.8352 1.8985
1.8352 0.0000 1.8985
0.0000 0.0000 3.7970
```

No. 2
Entry from Alexandria: a relaxed Th4Sb2H crystal (PBE).

Total DFT energy (no corrections) in eV/cell: -45.48
ΔE to the lowest computed polymorph in meV/atom: 0.0
Size of the total moment in μB/f.u.: 0.0

POSCAR file:
```
Th4Sb2H
1.0
-2.3400 2.3400 8.5464
2.3400 -2.3400 8.5464
2.3400 2.3400 -8.5464
Th Sb H
4 2 1
Cartesian
2.3400 0.0000 0.0000
0.0000 0.0000 2.9295
0.0000 2.3400 0.0000
0.0000 0.0000 14.1632
0.0000 0.0000 6.1490
0.0000 0.0000 10.9438
0.0000 0.0000 0.0000
```

No. 3
Entry from Alexandria: a relaxed UNb2Ge crystal (PBE).

Energy of formation in meV per atom: 319
Total DFT energy (no corrections) in eV/cell: -34.77
Size of the total moment in μB/f.u.: 1.3

POSCAR file:
```
UNb2Ge
1.0
1.4752 0.8517 10.1503
-1.4752 0.8517 10.1503
0.0000 -1.7035 10.1503
U Nb Ge
1 2 1
Cartesian
0.0000 0.0000 0.0000
0.0000 0.0000 2.8464
0.0000 0.0000 27.6044
0.0000 0.0000 15.2254
```